(1)
Computed, not measured: a crystal of Sr2YSi relaxed with PBEsol at the meta-GGA SCAN level of DFT.

Geometry as CIF:
```
data_Sr2YSi
_space_group_name_H-M_alt 'P 1'
_space_group_IT_number 1
_cell_length_a 4.222
_cell_length_b 4.222
_cell_length_c 6.914
_cell_angle_alpha 90.00
_cell_angle_beta 90.00
_cell_angle_gamma 90.00
loop_
_space_group_symop_operation_xyz
'x,y,z'
loop_
_atom_site_label
_atom_site_type_symbol
_atom_site_fract_x
_atom_site_fract_y
_atom_site_fract_z
Y1 Y 0.500 0.500 0.000
Sr1 Sr 0.000 0.000 0.280
Sr2 Sr 0.000 0.000 0.720
Si1 Si 0.500 0.500 0.500
```

**Volume**: 123 Å³/f.u.
**Uncorrected formation energy**: 86 meV/atom
**E**: -82.07 eV/cell

***

(2)
Computed, not measured: a crystal of Sr2YSi relaxed with PBEsol at the meta-GGA SCAN level of DFT.

Geometry as CIF:
```
data_Sr2YSi
_space_group_name_H-M_alt 'P 1'
_space_group_IT_number 1
_cell_length_a 3.772
_cell_length_b 3.772
_cell_length_c 11.314
_cell_angle_alpha 80.40
_cell_angle_beta 80.40
_cell_angle_gamma 60.00
loop_
_space_group_symop_operation_xyz
'x,y,z'
loop_
_atom_site_label
_atom_site_type_symbol
_atom_site_fract_x
_atom_site_fract_y
_atom_site_fract_z
Si1 Si 0.000 0.000 0.000
Sr1 Sr 0.266 0.266 0.201
Y1 Y 0.500 0.500 0.500
Sr2 Sr 0.734 0.734 0.799
```

**Volume**: 137 Å³/f.u.
**Uncorrected formation energy**: 174 meV/atom
**E**: -81.71 eV/cell

***

(3)
Computed, not measured: a crystal of Sr2YSi relaxed with PBEsol at the meta-GGA SCAN level of DFT.

Geometry as CIF:
```
data_Sr2YSi
_space_group_name_H-M_alt 'P 1'
_space_group_IT_number 1
_cell_length_a 4.636
_cell_length_b 4.636
_cell_length_c 6.300
_cell_angle_alpha 111.59
_cell_angle_beta 111.59
_cell_angle_gamma 90.00
loop_
_space_group_symop_operation_xyz
'x,y,z'
loop_
_atom_site_label
_atom_site_type_symbol
_atom_site_fract_x
_atom_site_fract_y
_atom_site_fract_z
Si1 Si 0.000 0.000 0.000
Sr1 Sr 0.750 0.250 0.500
Sr2 Sr 0.250 0.750 0.500
Y1 Y 0.500 0.500 0.000
```

**Volume**: 116 Å³/f.u.
**Uncorrected formation energy**: 59 meV/atom
**E**: -82.17 eV/cell

***

(4)
Computed, not measured: a crystal of Sr2ZnSi relaxed with PBEsol at the meta-GGA SCAN level of DFT.

Geometry as CIF:
```
data_Sr2ZnSi
_space_group_name_H-M_alt 'P 1'
_space_group_IT_number 1
_cell_length_a 5.343
_cell_length_b 5.343
_cell_length_c 5.343
_cell_angle_alpha 60.00
_cell_angle_beta 60.00
_cell_angle_gamma 60.00
loop_
_space_group_symop_operation_xyz
'x,y,z'
loop_
_atom_site_label
_atom_site_type_symbol
_atom_site_fract_x
_atom_site_fract_y
_atom_site_fract_z
Sr1 Sr 0.750 0.750 0.750
Si1 Si 0.500 0.500 0.500
Zn1 Zn 0.000 0.000 0.000
Sr2 Sr 0.250 0.250 0.250
```

**Volume**: 108 Å³/f.u.
**Uncorrected formation energy**: -301 meV/atom
**E**: -69.28 eV/cell

***

(5)
Computed, not measured: a crystal of Sr2ZnSi relaxed with PBEsol at the meta-GGA SCAN level of DFT.

Geometry as CIF:
```
data_Sr2ZnSi
_space_group_name_H-M_alt 'P 1'
_space_group_IT_number 1
_cell_length_a 4.289
_cell_length_b 4.614
_cell_length_c 6.237
_cell_angle_alpha 111.71
_cell_angle_beta 90.00
_cell_angle_gamma 90.00
loop_
_space_group_symop_operation_xyz
'x,y,z'
loop_
_atom_site_label
_atom_site_type_symbol
_atom_site_fract_x
_atom_site_fract_y
_atom_site_fract_z
Zn1 Zn 0.000 0.802 0.603
Sr1 Sr 0.000 0.111 0.221
Si1 Si 0.500 0.689 0.379
Sr2 Sr 0.500 0.394 0.788
```

**Volume**: 115 Å³/f.u.
**Uncorrected formation energy**: -355 meV/atom
**E**: -69.50 eV/cell

***

(6)
Computed, not measured: a crystal of SrZnSi relaxed with PBEsol at the meta-GGA SCAN level of DFT.

Geometry as CIF:
```
data_SrZnSi
_space_group_name_H-M_alt 'P 1'
_space_group_IT_number 1
_cell_length_a 3.425
_cell_length_b 3.425
_cell_length_c 6.088
_cell_angle_alpha 106.37
_cell_angle_beta 106.37
_cell_angle_gamma 89.90
loop_
_space_group_symop_operation_xyz
'x,y,z'
loop_
_atom_site_label
_atom_site_type_symbol
_atom_site_fract_x
_atom_site_fract_y
_atom_site_fract_z
Zn1 Zn 0.633 0.633 0.267
Sr1 Sr 0.334 0.334 0.667
Si1 Si 0.033 0.033 0.066
```

**Volume**: 66 Å³/f.u.
**Uncorrected formation energy**: 13 meV/atom
**E**: -45.77 eV/cell